No. 1
A relaxed structure of LiUPb2Se4. Source: the Alexandria database, functional GGA-PBE.

abc: 7.216 4.236 7.492
angles: 90.00 108.69 90.00
Fractional positions:
Li 0.000 0.000 0.000
U 0.500 0.500 0.000
Pb 0.000 0.500 0.500
Pb 0.500 0.000 0.500
Se 0.244 0.500 0.227
Se 0.257 0.000 0.775
Se 0.743 0.000 0.225
Se 0.756 0.500 0.773

**Space group**: No. 10
**Magnetization**: 3.01 μB per cell
**ΔE_f (raw)**: -6.467 eV per formula unit
**Volume**: 27.12 Å³ per atom

=====

No. 2
A relaxed structure of LiYPbSe2. Source: the Alexandria database, functional GGA-PBE.

abc: 5.490 5.490 5.944
angles: 90.00 90.00 90.00
Fractional positions:
Li 0.000 0.000 0.000
Y 0.500 0.500 0.500
Pb 0.500 0.500 0.000
Se 0.000 0.500 0.500
Se 0.500 0.000 0.500

**Space group**: No. 123
**Magnetization**: 0.00 μB per cell
**ΔE_f (raw)**: -1.904 eV per formula unit
**Volume**: 35.83 Å³ per atom

=====

No. 3
A relaxed structure of LiY2Pb3Se6. Source: the Alexandria database, functional GGA-PBE.

abc: 9.633 9.633 8.676
angles: 106.21 106.21 25.19
Fractional positions:
Li 0.000 0.000 0.000
Y 0.338 0.338 0.670
Y 0.662 0.662 0.330
Pb 0.000 0.000 0.500
Pb 0.339 0.339 0.159
Pb 0.661 0.661 0.841
Se 0.163 0.163 0.100
Se 0.174 0.174 0.568
Se 0.494 0.494 0.762
Se 0.506 0.506 0.238
Se 0.826 0.826 0.432
Se 0.837 0.837 0.900

**Space group**: No. 12
**Magnetization**: 0.00 μB per cell
**ΔE_f (raw)**: -12.977 eV per formula unit
**Volume**: 27.36 Å³ per atom

=====

No. 4
A relaxed structure of Li2ZrPbSe4. Source: the Alexandria database, functional GGA-PBE.

abc: 6.843 4.001 7.255
angles: 90.00 109.89 90.00
Fractional positions:
Li 0.000 0.000 0.000
Li 0.000 0.500 0.500
Zr 0.500 0.000 0.500
Pb 0.500 0.500 0.000
Se 0.243 0.000 0.712
Se 0.253 0.500 0.271
Se 0.747 0.500 0.729
Se 0.757 0.000 0.288

**Space group**: No. 10
**Magnetization**: 0.00 μB per cell
**ΔE_f (raw)**: -8.567 eV per formula unit
**Volume**: 23.35 Å³ per atom

=====

No. 5
A relaxed structure of Li2ZrPb3Se6. Source: the Alexandria database, functional GGA-PBE.

abc: 7.177 7.177 7.273
angles: 99.18 99.18 119.95
Fractional positions:
Li 0.174 0.826 0.000
Li 0.826 0.174 0.000
Zr 0.500 0.500 0.000
Pb 0.000 0.000 0.500
Pb 0.334 0.666 0.500
Pb 0.666 0.334 0.500
Se 0.109 0.425 0.785
Se 0.259 0.259 0.228
Se 0.425 0.109 0.785
Se 0.575 0.891 0.215
Se 0.741 0.741 0.772
Se 0.891 0.575 0.215

**Space group**: No. 12
**Magnetization**: 0.00 μB per cell
**ΔE_f (raw)**: -10.803 eV per formula unit
**Volume**: 25.64 Å³ per atom

=====

No. 6
A relaxed structure of LiSi2Pb. Source: the Alexandria database, functional GGA-PBE.

abc: 5.441 9.204 3.195
angles: 90.00 90.00 90.00
Fractional positions:
Li 0.000 0.000 0.000
Li 0.500 0.500 0.000
Si 0.250 0.250 0.500
Si 0.250 0.750 0.500
Si 0.750 0.250 0.500
Si 0.750 0.750 0.500
Pb 0.000 0.500 0.000
Pb 0.500 0.000 0.000

**Space group**: No. 65
**Magnetization**: 0.00 μB per cell
**ΔE_f (raw)**: 1.286 eV per formula unit
**Volume**: 20.00 Å³ per atom

=====

No. 7
A relaxed structure of LiSiPb3. Source: the Alexandria database, functional GGA-PBE.

abc: 5.472 5.472 5.472
angles: 90.00 90.00 90.00
Fractional positions:
Li 0.000 0.000 0.000
Si 0.500 0.500 0.500
Pb 0.000 0.500 0.500
Pb 0.500 0.000 0.500
Pb 0.500 0.500 0.000

**Polymorph energy (0 for the lowest one)**: 0.0 kJ/mol of atoms
**Space group**: No. 221
**Magnetization**: 0.00 μB per cell
**ΔE_f (raw)**: 2.068 eV per formula unit
**Volume**: 32.78 Å³ per atom

=====

No. 8
A relaxed structure of LiSi2Pb. Source: the Alexandria database, functional GGA-PBE.

abc: 7.857 7.857 5.273
angles: 90.00 90.00 90.00
Fractional positions:
Li 0.000 0.000 0.000
Li 0.000 0.500 0.250
Li 0.500 0.000 0.750
Li 0.500 0.500 0.500
Si 0.235 0.750 0.125
Si 0.250 0.235 0.875
Si 0.250 0.265 0.375
Si 0.265 0.750 0.625
Si 0.735 0.250 0.625
Si 0.750 0.735 0.375
Si 0.750 0.765 0.875
Si 0.765 0.250 0.125
Pb 0.000 0.000 0.500
Pb 0.000 0.500 0.750
Pb 0.500 0.000 0.250
Pb 0.500 0.500 0.000

**Space group**: No. 122
**Magnetization**: 0.00 μB per cell
**ΔE_f (raw)**: 1.627 eV per formula unit
**Volume**: 20.35 Å³ per atom

=====

Question: ΔE_f (raw) of number 7 (LiSiPb3)?
Answer: 2.068 eV per formula unit

=====

Repeat the sixth record exactly.
A relaxed structure of LiSi2Pb. Source: the Alexandria database, functional GGA-PBE.

abc: 5.441 9.204 3.195
angles: 90.00 90.00 90.00
Fractional positions:
Li 0.000 0.000 0.000
Li 0.500 0.500 0.000
Si 0.250 0.250 0.500
Si 0.250 0.750 0.500
Si 0.750 0.250 0.500
Si 0.750 0.750 0.500
Pb 0.000 0.500 0.000
Pb 0.500 0.000 0.000

**Space group**: No. 65
**Magnetization**: 0.00 μB per cell
**ΔE_f (raw)**: 1.286 eV per formula unit
**Volume**: 20.00 Å³ per atom